This record from Alexandria describes a relaxed structure of BaCdOs3. The functional is PBE-GGA. Values from VASP.

Properties
* ρ: 10327 kg/m3
* energy relative to the lowest polymorph listed for this composition: 110.0 kJ per mole of atoms

Structure (Quantum ESPRESSO input):
```
&SYSTEM
  ibrav = 0, nat = 5, ntyp = 3
/
ATOMIC_SPECIES
Ba 137.33 Ba.upf
Cd 112.41 Cd.upf
Os 190.23 Os.upf
ATOMIC_POSITIONS crystal
Ba 0.000 0.000 0.000
Cd 0.500 0.500 0.500
Os 0.000 0.000 0.500
Os 0.000 0.500 0.000
Os 0.500 0.000 0.000
CELL_PARAMETERS angstrom
5.091 0.000 0.000
0.000 5.091 0.000
0.000 0.000 5.091
```